! PBE Y2ZrAg, relaxed; values from VASP
! Energy relative to the elements in eV per atom: 0.204
! Energy above the most stable polymorph in this dataset in meV per atom: 318
! SG: F-43m (216)
! Calculated density in g/cm³: 6.3
&SYSTEM
  ibrav = 0, nat = 4, ntyp = 3
/
ATOMIC_SPECIES
Y 88.91 Y.upf
Zr 91.22 Zr.upf
Ag 107.87 Ag.upf
ATOMIC_POSITIONS crystal
Y 0.0000 0.0000 0.0000
Y 0.2500 0.2500 0.2500
Zr 0.7500 0.7500 0.7500
Ag 0.5000 0.5000 0.5000
CELL_PARAMETERS angstrom
0.0000 3.6854 3.6854
3.6854 0.0000 3.6854
3.6854 3.6854 0.0000